# 1
Below is an optimized crystal structure of CaIr2Au, with properties calculated at the PBE-GGA level.

Energy of formation from the pure elements   0.1 eV/f.u.
Relative energy among the computed polymorphs   89.2 meV/atom
M_tot   0.0 Bohr magnetons per cell
Electronic total energy   -5.71 eV/atom

Cell and atoms, written as CIF:
```
data_CaIr2Au
_symmetry_space_group_name_H-M 'P m m m'
_symmetry_Int_Tables_number 47
_symmetry_space_group_name_Hall '-P 2 2'
_cell_length_a 2.972
_cell_length_b 4.820
_cell_length_c 4.849
_cell_angle_alpha 90.00
_cell_angle_beta 90.00
_cell_angle_gamma 90.00
loop_
_atom_site_label
_atom_site_type_symbol
_atom_site_fract_x
_atom_site_fract_y
_atom_site_fract_z
Ca1 Ca 0.000 0.000 0.000
Ir1 Ir 0.000 0.500 0.500
Ir2 Ir 0.500 0.500 0.000
Au1 Au 0.500 0.000 0.500
```

=====

# 2
Below is an optimized crystal structure of CaIr2Au, with properties calculated at the PBE-GGA level.

Energy of formation from the pure elements   0.6 eV/f.u.
Relative energy among the computed polymorphs   206.3 meV/atom
M_tot   0.7 Bohr magnetons per cell
Electronic total energy   -5.60 eV/atom

Cell and atoms, written as CIF:
```
data_CaIr2Au
_symmetry_space_group_name_H-M 'I 4/m m m'
_symmetry_Int_Tables_number 139
_symmetry_space_group_name_Hall '-I 4 2'
_cell_length_a 4.010
_cell_length_b 4.010
_cell_length_c 8.821
_cell_angle_alpha 90.00
_cell_angle_beta 90.00
_cell_angle_gamma 90.00
loop_
_atom_site_label
_atom_site_type_symbol
_atom_site_fract_x
_atom_site_fract_y
_atom_site_fract_z
Ca1 Ca 0.000 0.000 0.000
Ir1 Ir 0.000 0.500 0.250
Au1 Au 0.000 0.000 0.500
```

=====

# 3
Below is an optimized crystal structure of CaIr2Au, with properties calculated at the PBE-GGA level.

Energy of formation from the pure elements   0.9 eV/f.u.
Relative energy among the computed polymorphs   272.4 meV/atom
M_tot   0.0 Bohr magnetons per cell
Electronic total energy   -5.53 eV/atom

Cell and atoms, written as CIF:
```
data_CaIr2Au
_symmetry_space_group_name_H-M 'P m m m'
_symmetry_Int_Tables_number 47
_symmetry_space_group_name_Hall '-P 2 2'
_cell_length_a 2.756
_cell_length_b 4.411
_cell_length_c 5.892
_cell_angle_alpha 90.00
_cell_angle_beta 90.00
_cell_angle_gamma 90.00
loop_
_atom_site_label
_atom_site_type_symbol
_atom_site_fract_x
_atom_site_fract_y
_atom_site_fract_z
Ca1 Ca 0.000 0.000 0.000
Ir1 Ir 0.500 0.500 0.279
Au1 Au 0.000 0.000 0.500
```

=====

# 4
Below is an optimized crystal structure of CaIrAu3, with properties calculated at the PBE-GGA level.

Energy of formation from the pure elements   0.9 eV/f.u.
Relative energy among the computed polymorphs   0.0 meV/atom
M_tot   0.0 Bohr magnetons per cell
Electronic total energy   -3.95 eV/atom

Cell and atoms, written as CIF:
```
data_CaIrAu3
_symmetry_space_group_name_H-M 'P m -3 m'
_symmetry_Int_Tables_number 221
_symmetry_space_group_name_Hall '-P 4 2 3'
_cell_length_a 5.070
_cell_length_b 5.070
_cell_length_c 5.070
_cell_angle_alpha 90.00
_cell_angle_beta 90.00
_cell_angle_gamma 90.00
loop_
_atom_site_label
_atom_site_type_symbol
_atom_site_fract_x
_atom_site_fract_y
_atom_site_fract_z
Ca1 Ca 0.000 0.000 0.000
Ir1 Ir 0.500 0.500 0.500
Au1 Au 0.000 0.500 0.500
```

=====

# 5
Below is an optimized crystal structure of CaIr2Au, with properties calculated at the PBE-GGA level.

Energy of formation from the pure elements   1.4 eV/f.u.
Relative energy among the computed polymorphs   396.0 meV/atom
M_tot   0.0 Bohr magnetons per cell
Electronic total energy   -5.41 eV/atom

Cell and atoms, written as CIF:
```
data_CaIr2Au
_symmetry_space_group_name_H-M 'P 4/m m m'
_symmetry_Int_Tables_number 123
_symmetry_space_group_name_Hall '-P 4 2'
_cell_length_a 3.374
_cell_length_b 3.374
_cell_length_c 6.512
_cell_angle_alpha 90.00
_cell_angle_beta 90.00
_cell_angle_gamma 90.00
loop_
_atom_site_label
_atom_site_type_symbol
_atom_site_fract_x
_atom_site_fract_y
_atom_site_fract_z
Ca1 Ca 0.000 0.000 0.000
Ir1 Ir 0.500 0.500 0.290
Au1 Au 0.000 0.000 0.500
```

=====

# 6
Below is an optimized crystal structure of CaIr2Au, with properties calculated at the PBE-GGA level.

Energy of formation from the pure elements   0.7 eV/f.u.
Relative energy among the computed polymorphs   222.3 meV/atom
M_tot   0.0 Bohr magnetons per cell
Electronic total energy   -5.58 eV/atom

Cell and atoms, written as CIF:
```
data_CaIr2Au
_symmetry_space_group_name_H-M 'I -4 2 d'
_symmetry_Int_Tables_number 122
_symmetry_space_group_name_Hall 'I -4 2bw'
_cell_length_a 4.365
_cell_length_b 4.365
_cell_length_c 19.234
_cell_angle_alpha 90.00
_cell_angle_beta 90.00
_cell_angle_gamma 90.00
loop_
_atom_site_label
_atom_site_type_symbol
_atom_site_fract_x
_atom_site_fract_y
_atom_site_fract_z
Ca1 Ca 0.000 0.000 0.000
Ir1 Ir 0.112 0.250 0.625
Au1 Au 0.000 0.000 0.500
```

=====

no.,density (kg/m3)
1,14862
2,14551
3,14409
4,10491
5,13917
6,11262